Record 1
The following is a DFT calculation (PBE) of a relaxed structure of ErGa8Tc4.

abc: 5.234 6.886 6.886
angles: 81.69 67.66 67.66
Sites, in units of the cell vectors:
Er (0.000, 0.000, 0.000)
Ga (0.000, 0.346, 0.654)
Ga (0.000, 0.654, 0.346)
Ga (0.346, 0.654, 0.654)
Ga (0.654, 0.346, 0.346)
Ga (0.500, 0.789, 0.211)
Ga (0.500, 0.211, 0.789)
Ga (0.289, 0.211, 0.211)
Ga (0.711, 0.789, 0.789)
Tc (0.000, 0.000, 0.500)
Tc (0.500, 0.000, 0.500)
Tc (0.000, 0.500, 0.000)
Tc (0.500, 0.500, 0.000)

The crystal system is tetragonal. As for the formation energy: -0.274 eV per atom. Its total energy is -5.6772 eV/atom. The spin magnetization comes out at 0.0 Bohr magnetons per cell.


Record 2
The following is a DFT calculation (PBE) of a relaxed structure of Th2TePd.

abc: 3.658 3.658 7.834
angles: 90.00 90.00 90.00
Sites, in units of the cell vectors:
Te (0.500, 0.500, 0.500)
Pd (0.500, 0.500, 0.000)
Th (0.000, 0.000, 0.763)
Th (0.000, 0.000, 0.237)

The crystal system is tetragonal. Its formation energy without anion corrections is -74.32 kJ/mol of atoms. Its total energy is -6.5638 eV/atom. For the offset from the most stable computed form, the calculation gives 2.21 kcal/mol of atoms. The spin magnetization comes out at 0.0 Bohr magnetons per cell.


Record 3
The following is a DFT calculation (PBE) of a relaxed structure of Ga2ReSbS.

abc: 4.871 4.871 5.094
angles: 90.00 90.00 90.00
Site moments in Bohr magnetons follow the coordinates.
Sites, in units of the cell vectors:
Re (0.000, 0.000, 0.000)  0.15
S (0.500, 0.500, 0.500)  0.17
Ga (0.000, 0.500, 0.000)  0.00
Ga (0.500, 0.000, 0.000)  0.00
Sb (0.000, 0.000, 0.500)  0.00

The crystal system is tetragonal. Its formation energy without anion corrections is 42.20 kJ/mol of atoms. Its total energy is -4.9130 eV/atom. The spin magnetization comes out at 0.4 Bohr magnetons per cell.


Record 4
The following is a DFT calculation (PBE) of a relaxed structure of La2Sm5Tl.

abc: 7.157 7.157 7.203
angles: 119.80 119.80 89.97
Sites, in units of the cell vectors:
La (0.223, 0.721, 0.444)
La (0.721, 0.223, 0.444)
Sm (0.722, 0.222, 0.944)
Sm (0.222, 0.222, 0.943)
Sm (0.723, 0.723, 0.946)
Sm (0.222, 0.722, 0.945)
Sm (0.722, 0.722, 0.444)
Tl (0.222, 0.222, 0.444)

The crystal system is orthorhombic. As for the formation energy: -0.053 eV per atom. Its total energy is -4.5301 eV/atom. For the offset from the most stable computed form, the calculation gives 0.00 kcal/mol of atoms. The spin magnetization comes out at 0.0 Bohr magnetons per cell.